Li3Mn5Cr2O12 | GGA+U | optimized geometry Values from VASP.

Cell and atoms, written as Quantum ESPRESSO input:
```
&SYSTEM
  ibrav = 0, nat = 22, ntyp = 4
/
ATOMIC_SPECIES
Li 6.94 Li.upf
Mn 54.94 Mn.upf
Cr 52.00 Cr.upf
O 16.00 O.upf
CELL_PARAMETERS angstrom
-0.3869 5.1747 -0.0939
-4.0687 -3.0139 1.1393
0.5252 1.2704 10.0029
ATOMIC_POSITIONS angstrom
Li -3.2437 1.9130 8.2211
Li -1.2620 0.2387 3.0199
Li -3.5282 -1.7606 6.0477
Mn -0.6616 4.5638 -0.0019
Mn -1.9107 1.7857 0.4165
Mn -2.2585 1.0634 5.6224
Mn -0.0901 2.8288 2.5556
Mn -2.0758 4.5268 7.9017
Cr -1.0818 3.6804 5.2283
Cr -3.1385 -0.9450 0.8278
O -1.7302 3.5337 1.4372
O -3.0249 3.7552 9.6447
O -0.3360 4.0438 8.9866
O -2.1860 2.7563 6.6247
O -1.1749 1.9414 4.2329
O -4.0405 1.4784 4.8952
O -0.2136 1.2150 1.1719
O -3.0503 0.7982 1.7926
O -3.2769 0.2302 7.0795
O -1.4992 1.2560 9.4631
O -0.6796 0.1965 6.4176
O -2.3490 -0.5699 4.5368
```

- Magnetization: 23.97 μB per formula unit
- E_tot: -154.7 eV/cell
- Fermi-level density of states: 2.7 states/eV per cell